No. 1
DFT (PBE) results for a relaxed Zn2AgCl crystal.

For the total magnetization, the calculation gives 0.00 μB per formula unit. The formation energy from raw total energies is -0.0519 eV per atom. The crystal system is tetragonal. For the final energy, the calculation gives -7.45 eV/cell. The energy above the most stable polymorph in this dataset is 121 meV/atom.

abc: 3.0719 3.0719 7.9274
angles: 90.00 90.00 90.00
Sites, in units of the cell vectors:
Zn (0.5000, 0.5000, 0.2363)
Zn (0.0000, 0.0000, 0.0063)
Ag (0.0000, 0.0000, 0.4541)
Cl (0.5000, 0.5000, 0.8033)



No. 2
DFT (PBE) results for a relaxed Tm3Cd3Ag2 crystal.

For the total magnetization, the calculation gives 0.00 μB per formula unit. The crystal system is hexagonal. The formation energy is -285 meV per atom. For the final energy, the calculation gives -24.14 eV/cell.

abc: 3.7709 7.6494 7.6494
angles: 120.00 90.00 90.00
Sites, in units of the cell vectors:
Cd (0.0000, 0.7705, 0.7705)
Cd (0.0000, 0.2295, 0.0000)
Cd (0.0000, 0.0000, 0.2295)
Ag (0.0000, 0.3333, 0.6667)
Ag (0.0000, 0.6667, 0.3333)
Tm (0.5000, 0.0000, 0.5890)
Tm (0.5000, 0.4110, 0.4110)
Tm (0.5000, 0.5890, 0.0000)



No. 3
DFT (PBE) results for a relaxed Tb2YHo4Mg crystal.

For the total magnetization, the calculation gives 0.00 μB per formula unit. The crystal system is monoclinic. The formation energy is 25 meV per atom. For the final energy, the calculation gives -35.43 eV/cell.

abc: 4.9426 4.9534 11.1407
angles: 63.55 90.00 90.00
Sites, in units of the cell vectors:
Y (0.0000, 0.5000, 0.5000)
Ho (0.0000, 0.2522, 0.2477)
Ho (0.0000, 0.7478, 0.7523)
Ho (0.5000, 0.7519, 0.2477)
Ho (0.5000, 0.2481, 0.7523)
Tb (0.0000, 0.0000, 0.0000)
Tb (0.5000, 0.0000, 0.5000)
Mg (0.5000, 0.5000, 0.0000)



No. 4
DFT (PBE) results for a relaxed Cr2GeMoH crystal.

For the total magnetization, the calculation gives 2.88 μB per formula unit. The crystal system is tetragonal. For the final energy, the calculation gives -32.92 eV/cell. The energy above the most stable polymorph in this dataset is 934 meV/atom.

abc: 4.6507 3.1778 4.6507
angles: 90.00 90.00 90.00
Last column: magnetic moment on the atom in μB.
Sites, in units of the cell vectors:
Cr (0.5000, 0.0000, 0.0000)  2.00
Cr (0.0000, 0.0000, 0.5000)  2.19
Mo (0.5000, 0.5000, 0.5000)  -1.48
H (0.0000, 0.5000, 0.0000)  0.05
Ge (0.0000, 0.0000, 0.0000)  -0.06



Question: Which of these has the highest total magnetization?
Answer: Cr2GeMoH



What did the second record say?
DFT (PBE) results for a relaxed Tm3Cd3Ag2 crystal.

For the total magnetization, the calculation gives 0.00 μB per formula unit. The crystal system is hexagonal. The formation energy is -285 meV per atom. For the final energy, the calculation gives -24.14 eV/cell.

abc: 3.7709 7.6494 7.6494
angles: 120.00 90.00 90.00
Sites, in units of the cell vectors:
Cd (0.0000, 0.7705, 0.7705)
Cd (0.0000, 0.2295, 0.0000)
Cd (0.0000, 0.0000, 0.2295)
Ag (0.0000, 0.3333, 0.6667)
Ag (0.0000, 0.6667, 0.3333)
Tm (0.5000, 0.0000, 0.5890)
Tm (0.5000, 0.4110, 0.4110)
Tm (0.5000, 0.5890, 0.0000)



Question: total magnetization of number 2 (Tm3Cd3Ag2)?
Answer: 0.00 μB per formula unit